(1)
A plane-wave DFT calculation with PBE was carried out for a geometry-optimized CeTaNi2 structure.

Values from the calculation:
The space group is P4/mmm. The formation energy comes out at -0.184 eV/atom. The calculation puts the total energy at -7.521 eV/atom. The density of states at the Fermi level comes out at 5.6 states/eV per cell. For the calculated density, the calculation gives 10.70 g cm⁻³.

Geometry as extended XYZ:
```
4
Lattice="3.127 0.000 0.000 0.000 3.127 0.000 0.000 0.000 6.960" Properties=species:S:1:pos:R:3 pbc="T T T"
Ni 0.000 0.000 5.614
Ni 0.000 0.000 1.346
Ce 1.563 1.563 3.480
Ta 1.563 1.563 0.000
```


(2)
A plane-wave DFT calculation with PBE was carried out for a geometry-optimized Y2OsSN structure.

Values from the calculation:
Its formation energy without anion corrections is -0.173 eV per atom. The space group is P4/mmm. The calculation puts the total energy at -7.495 eV/atom. The density of states at the Fermi level comes out at 3.9 states/eV per cell. For the calculated density, the calculation gives 7.84 g cm⁻³.

Geometry as extended XYZ:
```
5
Lattice="-2.143 -2.617 3.487 3.276 -0.416 1.701 -0.808 4.056 2.548" Properties=species:S:1:pos:R:3 pbc="T T T"
Y -0.404 2.028 1.274
Y -1.071 -1.309 1.743
S 1.638 -0.208 0.851
Os 0.163 0.512 3.868
N 0.000 0.000 0.000
```


(3)
A plane-wave DFT calculation with PBE was carried out for a geometry-optimized Pm2EuBi structure.

Values from the calculation:
The space group is P4/mmm. The formation energy comes out at -0.400 eV/atom. The calculation puts the total energy at -6.314 eV/atom. The density of states at the Fermi level comes out at 3.5 states/eV per cell. For the calculated density, the calculation gives 8.56 g cm⁻³.

Geometry as extended XYZ:
```
4
Lattice="4.961 0.000 0.000 0.000 5.044 0.000 0.000 0.000 5.044" Properties=species:S:1:pos:R:3 pbc="T T T"
Eu 2.481 2.522 2.522
Bi 2.481 0.000 0.000
Pm 0.000 0.000 2.522
Pm 0.000 2.522 0.000
```


(4)
A plane-wave DFT calculation with PBE was carried out for a geometry-optimized Ba2SnPd2 structure.

Values from the calculation:
The space group is I4/mmm. The formation energy comes out at -0.450 eV/atom. The calculation puts the total energy at -4.097 eV/atom. The density of states at the Fermi level comes out at 4.8 states/eV per cell. For the calculated density, the calculation gives 6.27 g cm⁻³.

Geometry as extended XYZ:
```
5
Lattice="-6.219 0.989 0.112 -0.898 -5.270 -3.330 -3.834 -4.264 1.825" Properties=species:S:1:pos:R:3 pbc="T T T"
Ba -6.806 -2.708 0.164
Ba -4.145 -5.837 -1.557
Pd -3.651 -2.851 -0.460
Pd -7.300 -5.694 -0.932
Sn 0.000 0.000 0.000
```